[1]
# KScTl2, relaxed, DFT PBE
# D(E_F)   3.5 states/eV/f.u.
# Energy of formation from the pure elements   88 meV/atom
# Excess energy over the best structure of this formula in the dataset   0.92 eV/f.u.
# Calculated volume   237.8 Å³/cell
data_KScTl2
_cell_length_a 3.430
_cell_length_b 5.736
_cell_length_c 12.089
_cell_angle_alpha 90.00
_cell_angle_beta 90.00
_cell_angle_gamma 90.00
_space_group_name_H-M_alt 'I m m 2'
_space_group_IT_number 44
loop_
_space_group_symop_operation_xyz
'x,y,z'
'-x,-y,z'
'-x,y,z'
'x,-y,z'
'x+1/2,y+1/2,z+1/2'
'-x+1/2,-y+1/2,z+1/2'
'-x+1/2,y+1/2,z+1/2'
'x+1/2,-y+1/2,z+1/2'
loop_
_atom_site_label
_atom_site_fract_x
_atom_site_fract_y
_atom_site_fract_z
K1 0.000 0.000 0.000
Sc1 0.000 0.500 0.784
Tl1 0.000 0.000 0.496
Tl2 0.000 0.500 0.231

[2]
# KScTl2, relaxed, DFT PBE
# D(E_F)   2.9 states/eV/f.u.
# Energy of formation from the pure elements   -142 meV/atom
# Excess energy over the best structure of this formula in the dataset   0.00 eV/f.u.
# Calculated volume   117.9 Å³/cell
data_KScTl2
_cell_length_a 3.720
_cell_length_b 3.742
_cell_length_c 8.473
_cell_angle_alpha 90.00
_cell_angle_beta 90.00
_cell_angle_gamma 90.00
_space_group_name_H-M_alt 'P m m m'
_space_group_IT_number 47
loop_
_space_group_symop_operation_xyz
'x,y,z'
'-x,-y,-z'
'-x,-y,z'
'x,y,-z'
'x,-y,-z'
'-x,y,z'
'-x,y,-z'
'x,-y,z'
loop_
_atom_site_label
_atom_site_fract_x
_atom_site_fract_y
_atom_site_fract_z
K1 0.000 0.000 0.000
Sc1 0.000 0.000 0.500
Tl1 0.500 0.500 0.300

[3]
# KScTl2, relaxed, DFT PBE
# D(E_F)   3.4 states/eV/f.u.
# Energy of formation from the pure elements   -5 meV/atom
# Excess energy over the best structure of this formula in the dataset   0.55 eV/f.u.
# Calculated volume   225.3 Å³/cell
data_KScTl2
_cell_length_a 8.048
_cell_length_b 8.115
_cell_length_c 3.450
_cell_angle_alpha 90.00
_cell_angle_beta 90.00
_cell_angle_gamma 90.00
_space_group_name_H-M_alt 'C m m m'
_space_group_IT_number 65
_space_group_name_Hall '-C 2 2'
loop_
_atom_site_label
_atom_site_fract_x
_atom_site_fract_y
_atom_site_fract_z
K1 0.000 0.000 0.000
Sc1 0.000 0.500 0.000
Tl1 0.250 0.250 0.500